Entry from the Alexandria database: TlNiHg2 after structural relaxation (PBE-GGA).

Space group: Fm-3m (225)
Crystal system: cubic
Calculated total energy in eV/atom: -1.784
Formation enthalpy at 0 K in meV per atom: 404

Lattice parameters (Å, degrees): 4.9823 4.9823 4.9823 60.00 60.00 60.00
Element x y z (fractional)
Tl1 0.0000 0.0000 0.0000
Ni1 0.5000 0.5000 0.5000
Hg1 0.2500 0.2500 0.2500
Hg2 0.7500 0.7500 0.7500


Entry from the Alexandria database: PaAsRu2 after structural relaxation (PBE-GGA).

Space group: C2/c (15)
Crystal system: monoclinic
Calculated total energy in eV/atom: -8.715
Formation enthalpy at 0 K in meV per atom: -540

Lattice parameters (Å, degrees): 5.7348 5.7348 6.7332 92.54 92.54 139.25
Element x y z (fractional)
Pa1 0.0680 0.9320 0.7500
Pa2 0.9320 0.0680 0.2500
As1 0.2141 0.7859 0.2500
As2 0.7859 0.2141 0.7500
Ru1 0.2954 0.5558 0.5339
Ru2 0.4442 0.7046 0.9661
Ru3 0.5558 0.2954 0.0339
Ru4 0.7046 0.4442 0.4661


Entry from the Alexandria database: Hf2NiWN after structural relaxation (PBE-GGA).

Space group: P4/mmm (123)
Crystal system: tetragonal
Calculated total energy in eV/atom: -9.925
Raw formation energy in eV/atom: -0.53

Lattice parameters (Å, degrees): 4.4211 4.4211 3.9550 90.00 90.00 90.00
Element x y z (fractional)
Hf1 0.0000 0.5000 0.0000
Hf2 0.5000 0.0000 0.0000
Ni1 0.0000 0.0000 0.5000
W1 0.5000 0.5000 0.5000
N1 0.5000 0.5000 0.0000


Entry from the Alexandria database: CsNaZn2Br6 after structural relaxation (PBE-GGA).

Space group: C2/c (15)
Crystal system: monoclinic
Calculated total energy in eV/atom: -2.680
Raw formation energy in eV/atom: -1.20

Lattice parameters (Å, degrees): 10.8623 10.8623 6.9395 96.60 96.60 96.68
Element x y z (fractional)
Cs1 0.1266 0.8734 0.7500
Cs2 0.8734 0.1266 0.2500
Na1 0.4070 0.5930 0.2500
Na2 0.5930 0.4070 0.7500
Zn1 0.2138 0.3738 0.8303
Zn2 0.3738 0.2138 0.3303
Zn3 0.6262 0.7862 0.6697
Zn4 0.7862 0.6262 0.1697
Br1 0.0492 0.2080 0.7645
Br2 0.1864 0.5774 0.9725
Br3 0.2080 0.0492 0.2645
Br4 0.3188 0.4085 0.5250
Br5 0.4085 0.3188 0.0250
Br6 0.4226 0.8136 0.5275
Br7 0.5774 0.1864 0.4725
Br8 0.5915 0.6812 0.9750
Br9 0.6812 0.5915 0.4750
Br10 0.7920 0.9508 0.7355
Br11 0.8136 0.4226 0.0275
Br12 0.9508 0.7920 0.2355


Entry from the Alexandria database: RbSmAgSe2 after structural relaxation (PBE-GGA).

Space group: P2/c (13)
Crystal system: monoclinic
Calculated total energy in eV/atom: -4.146
Raw formation energy in eV/atom: -1.04

Lattice parameters (Å, degrees): 8.0098 5.0440 8.3006 90.00 97.57 90.00
Element x y z (fractional)
Rb1 0.0000 0.1146 0.2500
Rb2 0.0000 0.8854 0.7500
Sm1 0.5000 0.4947 0.7500
Sm2 0.5000 0.5053 0.2500
Ag1 0.5000 0.0000 0.0000
Ag2 0.5000 0.0000 0.5000
Se1 0.2599 0.3787 0.9707
Se2 0.2599 0.6213 0.4707
Se3 0.7401 0.3787 0.5293
Se4 0.7401 0.6213 0.0293


Entry from the Alexandria database: Ac2Pm6Pr3 after structural relaxation (PBE-GGA).

Space group: P-1 (2)
Crystal system: triclinic
Calculated total energy in eV/atom: -4.615
Formation enthalpy at 0 K in meV per atom: 27

Lattice parameters (Å, degrees): 3.7433 6.4556 17.4570 90.09 90.02 106.80
Element x y z (fractional)
Ac1 0.1819 0.3629 0.2716
Ac2 0.8181 0.6371 0.7284
Pm1 0.2738 0.5470 0.9125
Pm2 0.3627 0.7267 0.5433
Pm3 0.4518 0.9024 0.1782
Pm4 0.5482 0.0976 0.8218
Pm5 0.6373 0.2733 0.4567
Pm6 0.7262 0.4530 0.0875
Pr1 0.0000 0.0000 0.0000
Pr2 0.0893 0.1782 0.6347
Pr3 0.9107 0.8218 0.3653